No. 1
DFT (PBE-GGA) results for crystalline SbRh3I at its relaxed geometry.

Structure (CIF):
```
data_SbRh3I
_chemical_formula_sum 'Sb1 Rh3 I1'
_cell_length_a 4.9085
_cell_length_b 4.9085
_cell_length_c 4.9085
_cell_angle_alpha 90.00
_cell_angle_beta 90.00
_cell_angle_gamma 90.00
_space_group_name_H-M_alt 'P m -3 m'
_space_group_IT_number 221
_space_group_name_Hall '-P 4 2 3'
loop_
_atom_site_label
_atom_site_type_symbol
_atom_site_fract_x
_atom_site_fract_y
_atom_site_fract_z
Sb1 Sb 0.0000 0.0000 0.0000
Rh1 Rh 0.0000 0.0000 0.5000
I1 I 0.5000 0.5000 0.5000
```

## Properties
N(E_F) = 8.09 states/eV/f.u.
Energy relative to the elements, uncorrected = 859.8 meV/atom
Magnetic moment = 0.98 μB/cell

No. 2
DFT (PBE-GGA) results for crystalline GdErThAl at its relaxed geometry.

Structure (CIF):
```
data_GdErThAl
_chemical_formula_sum 'Gd4 Er4 Th4 Al4'
_cell_length_a 7.6121
_cell_length_b 7.6121
_cell_length_c 7.6121
_cell_angle_alpha 90.00
_cell_angle_beta 90.00
_cell_angle_gamma 90.00
_space_group_name_H-M_alt 'F -4 3 m'
_space_group_IT_number 216
_space_group_name_Hall 'F -4 2 3'
loop_
_atom_site_label
_atom_site_type_symbol
_atom_site_fract_x
_atom_site_fract_y
_atom_site_fract_z
Gd1 Gd 0.0000 0.0000 0.0000
Er1 Er 0.2500 0.2500 0.2500
Th1 Th 0.0000 0.0000 0.5000
Al1 Al 0.2500 0.2500 0.7500
```

## Properties
N(E_F) = 4.48 states/eV/f.u.
ΔE_f = -0.1 eV per formula unit
Magnetic moment = 29.81 μB/cell

No. 3
DFT (PBE-GGA) results for crystalline Ho2Er6Sc5 at its relaxed geometry.

Structure (CIF):
```
data_Ho2Er6Sc5
_chemical_formula_sum 'Ho4 Er12 Sc10'
_cell_length_a 11.2881
_cell_length_b 19.1932
_cell_length_c 3.4522
_cell_angle_alpha 90.00
_cell_angle_beta 90.00
_cell_angle_gamma 90.00
_space_group_name_H-M_alt 'P b a m'
_space_group_IT_number 55
loop_
_space_group_symop_operation_xyz
'x,y,z'
'-x,-y,-z'
'-x,-y,z'
'x,y,-z'
'x+1/2,-y+1/2,-z'
'-x+1/2,y+1/2,z'
'-x+1/2,y+1/2,-z'
'x+1/2,-y+1/2,z'
loop_
_atom_site_label
_atom_site_type_symbol
_atom_site_fract_x
_atom_site_fract_y
_atom_site_fract_z
Ho1 Ho 0.1528 0.2143 0.0000
Er1 Er 0.0573 0.9198 0.0000
Er2 Er 0.0888 0.6338 0.0000
Er3 Er 0.1720 0.3751 0.5000
Sc1 Sc 0.0000 0.5000 0.5000
Sc2 Sc 0.1052 0.7768 0.5000
Sc3 Sc 0.1976 0.0517 0.5000
```

## Properties
N(E_F) = 18.63 states/eV/f.u.
ΔE_f = 1.5 eV per formula unit
Magnetic moment = 0.00 μB/cell

No. 4
DFT (PBE-GGA) results for crystalline BaNaPrS3 at its relaxed geometry.

Structure (CIF):
```
data_BaNaPrS3
_chemical_formula_sum 'Ba2 Na2 Pr2 S6'
_cell_length_a 8.8582
_cell_length_b 4.3045
_cell_length_c 9.2388
_cell_angle_alpha 90.00
_cell_angle_beta 104.41
_cell_angle_gamma 90.00
_space_group_name_H-M_alt 'P 1 21/m 1'
_space_group_IT_number 11
loop_
_space_group_symop_operation_xyz
'x,y,z'
'-x,-y,-z'
'-x,y+1/2,-z'
'x,-y+1/2,z'
loop_
_atom_site_label
_atom_site_type_symbol
_atom_site_fract_x
_atom_site_fract_y
_atom_site_fract_z
Ba1 Ba 0.2012 0.2500 0.2331
Na1 Na 0.0894 0.2500 0.5837
Pr1 Pr 0.3309 0.7500 0.8363
S1 S 0.1198 0.2500 0.8739
S2 S 0.2304 0.7500 0.5123
S3 S 0.4461 0.7500 0.1575
```

## Properties
N(E_F) = 0.00 states/eV/f.u.
Energy relative to the elements, uncorrected = -1746.4 meV/atom
Magnetic moment = 0.00 μB/cell

No. 5
DFT (PBE-GGA) results for crystalline Y3Ho3Sc2 at its relaxed geometry.

Structure (CIF):
```
data_Y3Ho3Sc2
_chemical_formula_sum 'Y6 Ho6 Sc4'
_cell_length_a 4.9494
_cell_length_b 4.9498
_cell_length_c 19.4428
_cell_angle_alpha 90.00
_cell_angle_beta 90.00
_cell_angle_gamma 90.00
_space_group_name_H-M_alt 'I m m m'
_space_group_IT_number 71
_space_group_name_Hall '-I 2 2'
loop_
_atom_site_label
_atom_site_type_symbol
_atom_site_fract_x
_atom_site_fract_y
_atom_site_fract_z
Y1 Y 0.0000 0.0000 0.0000
Y2 Y 0.0000 0.5000 0.1306
Ho1 Ho 0.0000 0.0000 0.5000
Ho2 Ho 0.0000 0.5000 0.3691
Sc1 Sc 0.0000 0.0000 0.2500
```

## Properties
N(E_F) = 12.89 states/eV/f.u.
ΔE_f = 0.4 eV per formula unit
Magnetic moment = 0.00 μB/cell

No. 6
DFT (PBE-GGA) results for crystalline LaCo3Os at its relaxed geometry.

Structure (CIF):
```
data_LaCo3Os
_chemical_formula_sum 'La1 Co3 Os1'
_cell_length_a 4.4715
_cell_length_b 4.4715
_cell_length_c 4.4715
_cell_angle_alpha 90.00
_cell_angle_beta 90.00
_cell_angle_gamma 90.00
_space_group_name_H-M_alt 'P m -3 m'
_space_group_IT_number 221
_space_group_name_Hall '-P 4 2 3'
loop_
_atom_site_label
_atom_site_type_symbol
_atom_site_fract_x
_atom_site_fract_y
_atom_site_fract_z
La1 La 0.0000 0.0000 0.0000
Co1 Co 0.0000 0.0000 0.5000
Os1 Os 0.5000 0.5000 0.5000
```

## Properties
N(E_F) = 6.80 states/eV/f.u.
ΔE_f = 10.1 eV per formula unit
Magnetic moment = 4.59 μB/cell

- N(E_F) of number 2 (GdErThAl)?
  4.48 states/eV/f.u.

- Number 3 is which compound?
  Ho2Er6Sc5